# Dy2GaFeC

A geometry-optimized Dy2GaFeC structure (PBE, Alexandria).

Results
Space-group type   P4/mmm
Energy relative to the elements   -0.3979 eV/atom

abc: 3.673 4.972 4.972
angles: 90.00 90.00 90.00
Site moments in Bohr magnetons follow the coordinates.
Element x y z (fractional)
1 C 0.000 0.000 0.000  -0.02
2 Dy 0.000 0.000 0.500  -0.06
3 Dy 0.000 0.500 0.000  -0.06
4 Fe 0.500 0.000 0.000  0.63
5 Ga 0.500 0.500 0.500  0.00